Model 1:
Computed, not measured: a geometry-optimized GaCoI2O structure at the PBE+U level of DFT.

Cell lengths 5.9760, 5.9760, 3.5981 Å; angles 90.00, 90.00, 90.00 degrees
With the nearest neighbours (Å) after each atom.
Space group P4/mmm (No. 123)
Unique sites:
1 Ga 0.0000 0.0000 0.0000 (multiplicity 1)  8 I 3.49, 2 Ga 3.60
2 Co 0.5000 0.5000 0.5000 (multiplicity 1)  2 O 1.80
3 I 0.0000 0.5000 0.5000 (multiplicity 2)  2 Co 2.99
4 O 0.5000 0.5000 0.0000 (multiplicity 1)  2 Co 1.80

DOS at the Fermi energy: 2.2 states/eV per cell
Magnetization: 3.66 μB per formula unit

=====

Model 2:
Computed, not measured: a geometry-optimized GaCoI2O structure at the PBE+U level of DFT.

Cell lengths 5.7222, 5.7222, 3.6478 Å; angles 90.00, 90.00, 90.00 degrees
With the nearest neighbours (Å) after each atom.
Space group P4/mmm (No. 123)
Unique sites:
1 Ga 0.0000 0.0000 0.0000 (multiplicity 1)  2 O 1.82
2 Co 0.5000 0.5000 0.5000 (multiplicity 1)  8 I 3.39, 2 Co 3.65
3 I 0.0000 0.5000 0.0000 (multiplicity 2)  2 Ga 2.86
4 O 0.0000 0.0000 0.5000 (multiplicity 1)  2 Ga 1.82

DOS at the Fermi energy: 3.3 states/eV per cell
Magnetization: 2.62 μB per formula unit

=====

Result of the stability comparison: model 1 is the most stable of them.